# 1
Here is a relaxed structure of Rb2Tl5Pd3 from Alexandria via LeMat-Bulk. Energies are from PBE.

abc: 10.9948 15.1935 7.0790
angles: 90.00 90.00 90.00
Last column: nearest neighbours and their distance in Å.
Space group Ibam (No. 72)
Symmetry-distinct sites (fractional):
Rb1 0.2384 0.1241 0.0000 (multiplicity 8)  6 Pd 3.68-4.12, 10 Tl 3.75-4.02
Tl1 0.0000 0.2670 0.2500 (multiplicity 8)  2 Pd 2.82
Tl2 0.0000 0.5000 0.2500 (multiplicity 4)  4 Pd 2.85
Tl3 0.1268 0.1095 0.5000 (multiplicity 8)  3 Pd 2.78-2.80
Pd1 0.0000 0.0000 0.2500 (multiplicity 4)  4 Tl 2.80
Pd2 0.1210 0.3817 0.0000 (multiplicity 8)  5 Tl 2.78-2.85

Results
E_form in meV per atom: -121.3


# 2
Here is a relaxed structure of RbTl5Pd2 from Alexandria via LeMat-Bulk. Energies are from PBE.

abc: 4.5235 8.3536 12.0558
angles: 90.00 90.00 90.00
Last column: nearest neighbours and their distance in Å.
Space group Immm (No. 71)
Symmetry-distinct sites (fractional):
Rb1 0.0000 0.0000 0.0000 (multiplicity 2)  10 Tl 3.81-4.18, 4 Pd 3.97
Tl1 0.0000 0.2063 0.3480 (multiplicity 8)  3 Pd 2.84-2.99
Tl2 0.0000 0.5000 0.0000 (multiplicity 2)  2 Pd 2.76
Pd1 0.0000 0.5000 0.2290 (multiplicity 4)  7 Tl 2.76-2.99

Results
E_form in meV per atom: -114.6


- Which value of E_form does entry 1 give?
  -121.3 meV per atom


- Which formula does entry 2 have?
  RbTl5Pd2